Entry 1:
This record from Alexandria via LeMat-Bulk describes a relaxed structure of Ge2SbCl. The functional is PBE-GGA.

total magnetization	0.00	μB/atom
ρ	5.7	g/cm3
distance to the lowest polymorph of the same formula	0.00	eV per formula unit
total DFT energy (no corrections)	-59.7	eV per cell

a = 7.0799 Å, b = 7.0799 Å, c = 7.0799 Å
α = 90.00°, β = 90.00°, γ = 90.00°
Space group Fm-3m (No. 225)
One atom of each set of equivalent atoms:
1 Ge 0.2500 0.2500 0.2500 x8
2 Sb 0.0000 0.0000 0.0000 x4
3 Cl 0.0000 0.0000 0.5000 x4


Entry 2:
This record from Alexandria via LeMat-Bulk describes a relaxed structure of PmNdCuAg. The functional is PBE-GGA.

total magnetization	0.00	μB/atom
ρ	7.7	g/cm3
distance to the lowest polymorph of the same formula	0.09	eV per formula unit
total DFT energy (no corrections)	-68.8	eV per cell

a = 7.3466 Å, b = 7.3466 Å, c = 7.3466 Å
α = 90.00°, β = 90.00°, γ = 90.00°
Space group F-43m (No. 216)
One atom of each set of equivalent atoms:
1 Pm 0.0000 0.0000 0.0000 x4
2 Nd 0.0000 0.0000 0.5000 x4
3 Cu 0.2500 0.2500 0.2500 x4
4 Ag 0.2500 0.2500 0.7500 x4


Entry 3:
This record from Alexandria via LeMat-Bulk describes a relaxed structure of Zn2SbW. The functional is PBE-GGA.

total magnetization	0.00	μB/atom
ρ	10.4	g/cm3
total DFT energy (no corrections)	-18.0	eV per cell

a = 2.8958 Å, b = 4.8366 Å, c = 4.9836 Å
α = 90.00°, β = 90.00°, γ = 90.00°
Space group Pmm2 (No. 25)
One atom of each set of equivalent atoms:
1 Zn 0.0000 0.0000 0.0000 x1
2 Zn 0.0000 0.5000 0.2851 x1
3 Sb 0.5000 0.5000 0.7774 x1
4 W 0.5000 0.0000 0.4890 x1


Entry 4:
This record from Alexandria via LeMat-Bulk describes a relaxed structure of Sr2CaMg. The functional is PBE-GGA.

total magnetization	0.00	μB/atom
ρ	2.3	g/cm3
total DFT energy (no corrections)	-7.0	eV per cell

a = 4.1038 Å, b = 4.1564 Å, c = 10.0033 Å
α = 90.00°, β = 90.00°, γ = 90.00°
Space group Pmmm (No. 47)
One atom of each set of equivalent atoms:
1 Sr 0.0000 0.0000 0.2117 x2
2 Ca 0.5000 0.5000 0.5000 x1
3 Mg 0.5000 0.5000 0.0000 x1


Entry 5:
This record from Alexandria via LeMat-Bulk describes a relaxed structure of Ti5MoC6. The functional is PBE-GGA.

total magnetization	0.00	μB/atom
ρ	5.5	g/cm3
total DFT energy (no corrections)	-228.2	eV per cell

a = 5.3108 Å, b = 9.1988 Å, c = 5.3130 Å
α = 90.00°, β = 109.54°, γ = 90.00°
Space group C2/m (No. 12)
One atom of each set of equivalent atoms:
1 Ti 0.0000 0.0000 0.0000 x2
2 Ti 0.0000 0.1665 0.5000 x4
3 Ti 0.0000 0.3321 0.0000 x4
4 Mo 0.0000 0.5000 0.5000 x2
5 C 0.2494 0.0000 0.7508 x4
6 C 0.2496 0.1673 0.2505 x8


Entry 6:
This record from Alexandria via LeMat-Bulk describes a relaxed structure of PmErTm2Sb4. The functional is PBE-GGA.

total magnetization	0.00	μB/atom
ρ	7.9	g/cm3
total DFT energy (no corrections)	-43.5	eV per cell

a = 7.5858 Å, b = 4.3847 Å, c = 7.5882 Å
α = 90.00°, β = 109.49°, γ = 90.00°
Space group P2/m (No. 10)
One atom of each set of equivalent atoms:
1 Pm 0.0000 0.0000 0.0000 x1
2 Er 0.0000 0.5000 0.5000 x1
3 Tm 0.5000 0.0000 0.5000 x1
4 Tm 0.5000 0.5000 0.0000 x1
5 Sb 0.2543 0.0000 0.7473 x2
6 Sb 0.2574 0.5000 0.2566 x2


Entry 7:
This record from Alexandria via LeMat-Bulk describes a relaxed structure of KBe2In. The functional is PBE-GGA.

total magnetization	0.00	μB/atom
ρ	3.0	g/cm3
total DFT energy (no corrections)	-8.3	eV per cell

a = 3.5634 Å, b = 3.5634 Å, c = 7.4291 Å
α = 90.00°, β = 90.00°, γ = 90.00°
Space group P4/mmm (No. 123)
One atom of each set of equivalent atoms:
1 K 0.0000 0.0000 0.0000 x1
2 Be 0.5000 0.5000 0.3558 x2
3 In 0.0000 0.0000 0.5000 x1


Entry 8:
This record from Alexandria via LeMat-Bulk describes a relaxed structure of TlAg2MoBr8. The functional is PBE-GGA.

total magnetization	0.08	μB/atom
ρ	4.7	g/cm3
total DFT energy (no corrections)	-37.9	eV per cell

a = 6.7015 Å, b = 7.4643 Å, c = 8.9622 Å
α = 68.07°, β = 89.02°, γ = 79.68°
Space group P-1 (No. 2)
One atom of each set of equivalent atoms:
1 Tl 0.0000 0.0000 0.0000 x1
2 Ag 0.4685 0.3347 0.1802 x2
3 Mo 0.0000 0.0000 0.5000 x1
4 Br 0.0765 0.2438 0.2257 x2
5 Br 0.1251 0.2003 0.6360 x2
6 Br 0.3533 0.8007 0.5237 x2
7 Br 0.4403 0.7293 0.0871 x2


Entry 9:
This record from Alexandria via LeMat-Bulk describes a relaxed structure of PrGa4AgPd2. The functional is PBE-GGA.

total magnetization	0.00	μB/atom
ρ	8.3	g/cm3
total DFT energy (no corrections)	-102.4	eV per cell

a = 4.3526 Å, b = 4.3526 Å, c = 27.2234 Å
α = 90.00°, β = 90.00°, γ = 120.00°
Space group R-3m (No. 166, hexagonal axes)
One atom of each set of equivalent atoms:
1 Pr 0.0000 0.0000 0.0000 x3
2 Ga 0.0000 0.0000 0.1235 x6
3 Ga 0.0000 0.0000 0.3985 x6
4 Ag 0.0000 0.0000 0.5000 x3
5 Pd 0.0000 0.0000 0.2374 x6


Entry 10:
This record from Alexandria via LeMat-Bulk describes a relaxed structure of Sr2BO. The functional is PBE-GGA.

total magnetization	0.00	μB/atom
ρ	3.4	g/cm3
distance to the lowest polymorph of the same formula	0.00	eV per formula unit
total DFT energy (no corrections)	-70.1	eV per cell

a = 6.8145 Å, b = 6.8145 Å, c = 8.4966 Å
α = 90.00°, β = 90.00°, γ = 90.00°
Space group I-42d (No. 122)
One atom of each set of equivalent atoms:
1 Sr 0.1912 0.2500 0.1250 x8
2 B 0.0000 0.0000 0.5000 x4
3 O 0.0000 0.0000 0.0000 x4


Entry 11:
This record from Alexandria via LeMat-Bulk describes a relaxed structure of Nd8GeOs3I4. The functional is PBE-GGA.

total magnetization	0.00	μB/atom
ρ	7.6	g/cm3
total DFT energy (no corrections)	-278.8	eV per cell

a = 8.5193 Å, b = 8.5193 Å, c = 24.1216 Å
α = 90.00°, β = 90.00°, γ = 120.00°
Space group R-3m (No. 166, hexagonal axes)
One atom of each set of equivalent atoms:
1 Nd 0.0000 0.0000 0.2309 x6
2 Nd 0.0147 0.5074 0.7722 x18
3 Ge 0.0000 0.0000 0.5000 x3
4 Os 0.0000 0.5000 0.5000 x9
5 I 0.0000 0.0000 0.0000 x3
6 I 0.0000 0.5000 0.0000 x9


Entry 12:
This record from Alexandria via LeMat-Bulk describes a relaxed structure of SrSmSnPb. The functional is PBE-GGA.

total magnetization	0.00	μB/atom
ρ	7.4	g/cm3
total DFT energy (no corrections)	-64.1	eV per cell

a = 7.9516 Å, b = 7.9516 Å, c = 7.9516 Å
α = 90.00°, β = 90.00°, γ = 90.00°
Space group F-43m (No. 216)
One atom of each set of equivalent atoms:
1 Sr 0.0000 0.0000 0.0000 x4
2 Sm 0.0000 0.0000 0.5000 x4
3 Sn 0.2500 0.2500 0.2500 x4
4 Pb 0.2500 0.2500 0.7500 x4